{"formula": "NiHg3Cl2F6", "functional": "PBE with a Hubbard U", "state": "relaxed", "cell": [[5.7908, -3.5099, 0.0000], [5.7908, 3.5099, 0.0000], [-0.2533, 0.0000, 5.6375]], "species": ["Ni", "Hg", "Hg", "Hg", "Cl", "Cl", "F", "F", "F", "F", "F", "F"], "fractional_positions": [[0.0000, 0.0000, 0.0000], [0.0000, 0.5000, 0.0000], [0.5000, 0.0000, 0.0000], [0.5000, 0.5000, 0.5000], [0.3101, 0.3101, 0.6334], [0.6899, 0.6899, 0.3666], [0.1413, 0.7053, 0.1844], [0.1506, 0.1506, 0.1893], [0.2947, 0.8587, 0.8156], [0.7053, 0.1413, 0.1844], [0.8494, 0.8494, 0.8107], [0.8587, 0.2947, 0.8156]], "m_tot_mub_per_cell": 1.90, "final_energy_ev_per_cell": -34.60}